# 1
A plane-wave DFT calculation with GGA-PBE was carried out for a relaxed structure of Sn2TePb2.

Calculated values
For the total DFT energy (no corrections), the calculation gives -0.2748 Ry/atom. For the uncorrected formation energy, the calculation gives -0.03 eV per atom. The density comes out at 8.104 g/cm³. Its space group is I4/mmm.

Cell: 4.2759 4.2759 9.2438 Å, 76.63 76.63 90.00°
Fractional positions:
Te 0.0000 0.0000 0.0000
Sn 0.2500 0.7500 0.5000
Sn 0.7500 0.2500 0.5000
Pb 0.4022 0.4022 0.1956
Pb 0.5978 0.5978 0.8044

=====

# 2
A plane-wave DFT calculation with GGA-PBE was carried out for a relaxed structure of Ba2MnCuH6.

Calculated values
For the total DFT energy (no corrections), the calculation gives -0.2878 Ry/atom. The density comes out at 5.258 g/cm³. Its space group is Fmmm.

Cell: 5.5333 5.5333 5.6804 Å, 60.83 60.83 89.94°
Fractional positions:
H 0.7737 0.7738 0.0002
H 0.2265 0.7735 0.0000
H 0.7735 0.2265 0.0000
H 0.2262 0.2262 0.9998
H 0.2092 0.2092 0.5813
H 0.7908 0.7908 0.4187
Ba 0.2499 0.7501 0.5000
Ba 0.7501 0.2499 0.5000
Cu 0.5000 0.5000 0.0000
Mn 0.0000 0.0000 0.0000

=====

# 3
A plane-wave DFT calculation with GGA-PBE was carried out for a relaxed structure of Tl2OsCl2O4.

Calculated values
For the total DFT energy (no corrections), the calculation gives -0.3754 Ry/atom. For the uncorrected formation energy, the calculation gives -0.72 eV per atom. The density comes out at 6.406 g/cm³. Its space group is I4/mmm.

Cell: 6.3459 6.3459 6.3459 Å, 97.26 115.90 115.90°
Fractional positions:
Os 0.0000 0.0000 0.0000
O 0.6183 0.8091 0.8091
O 0.0000 0.8091 0.1909
O 0.0000 0.1909 0.8091
O 0.3817 0.1909 0.1909
Tl 0.5000 0.7500 0.2500
Tl 0.5000 0.2500 0.7500
Cl 0.0000 0.7126 0.7126
Cl 0.0000 0.2874 0.2874

=====

# 4
A plane-wave DFT calculation with GGA-PBE was carried out for a relaxed structure of K3LaZr.

Calculated values
For the total DFT energy (no corrections), the calculation gives -0.1229 Ry/atom. The density comes out at 1.971 g/cm³. Its space group is Pm-3m. For the formation energy, the calculation gives 1.68 eV per atom.

Cell: 6.6401 6.6401 6.6401 Å, 90.00 90.00 90.00°
Fractional positions:
K 0.5000 0.0000 0.0000
K 0.0000 0.0000 0.5000
K 0.0000 0.5000 0.0000
Zr 0.5000 0.5000 0.5000
La 0.0000 0.0000 0.0000

=====

# 5
A plane-wave DFT calculation with GGA-PBE was carried out for a relaxed structure of Dy4ZnGa2.

Calculated values
For the total DFT energy (no corrections), the calculation gives -0.2989 Ry/atom. The density comes out at 7.981 g/cm³. Its space group is I4/mmm. For the formation energy, the calculation gives -0.39 eV per atom.

Cell: 6.1366 6.1366 6.1366 Å, 108.47 109.98 109.98°
Fractional positions:
Dy 0.5000 0.5000 0.5000
Dy 0.0000 0.0000 0.5000
Dy 0.5000 0.0000 0.0000
Dy 0.0000 0.5000 0.0000
Ga 0.5000 0.5000 0.0000
Ga 0.5000 0.0000 0.5000
Zn 0.0000 0.0000 0.0000

=====

# 6
A plane-wave DFT calculation with GGA-PBE was carried out for a relaxed structure of MgBiSb.

Calculated values
For the total DFT energy (no corrections), the calculation gives -0.2347 Ry/atom. For the uncorrected formation energy, the calculation gives 0.01 eV per atom. The density comes out at 6.547 g/cm³. Its space group is P3m1.

Cell: 5.4989 4.3486 4.3486 Å, 120.00 90.00 90.00°
Fractional positions:
Bi 0.6726 0.6667 0.3333
Mg 0.3110 0.3333 0.6667
Sb 0.0164 0.0000 0.0000

=====

# 7
A plane-wave DFT calculation with GGA-PBE was carried out for a relaxed structure of Rb4UPa3O12.

Calculated values
For the total DFT energy (no corrections), the calculation gives -0.6041 Ry/atom. For the uncorrected formation energy, the calculation gives -3.06 eV per atom. The density comes out at 7.152 g/cm³. Its space group is Im-3m.

Cell: 7.6165 7.6165 7.6165 Å, 109.47 109.47 109.47°
Fractional positions:
O 0.0000 0.2486 0.2486
O 0.2500 0.7500 0.5000
O 0.7514 0.7514 0.0000
O 0.5000 0.7500 0.2500
O 0.7500 0.5000 0.2500
O 0.7500 0.2500 0.5000
O 0.2486 0.0000 0.2486
O 0.0000 0.7514 0.7514
O 0.2486 0.2486 0.0000
O 0.7514 0.0000 0.7514
O 0.2500 0.5000 0.7500
O 0.5000 0.2500 0.7500
Rb 0.0000 0.0000 0.5000
Rb 0.0000 0.5000 0.0000
Rb 0.5000 0.0000 0.0000
Rb 0.5000 0.5000 0.5000
Pa 0.5000 0.0000 0.5000
Pa 0.5000 0.5000 0.0000
Pa 0.0000 0.5000 0.5000
U 0.0000 0.0000 0.0000

=====

# 8
A plane-wave DFT calculation with GGA-PBE was carried out for a relaxed structure of HoHfThSc.

Calculated values
For the total DFT energy (no corrections), the calculation gives -0.5097 Ry/atom. The density comes out at 9.558 g/cm³. Its space group is F-43m. For the formation energy, the calculation gives 0.14 eV per atom.

Cell: 5.3419 5.3419 5.3419 Å, 60.00 60.00 60.00°
Fractional positions:
Th 0.2500 0.2500 0.2500
Sc 0.0000 0.0000 0.0000
Hf 0.5000 0.5000 0.5000
Ho 0.7500 0.7500 0.7500

=====

# 9
A plane-wave DFT calculation with GGA-PBE was carried out for a relaxed structure of K2CaS2.

Calculated values
For the total DFT energy (no corrections), the calculation gives -0.2692 Ry/atom. For the uncorrected formation energy, the calculation gives -1.17 eV per atom. The density comes out at 2.123 g/cm³. Its space group is P4/mbm.

Cell: 7.9000 7.9000 4.5722 Å, 90.00 90.00 90.00°
Fractional positions:
S 0.8141 0.6859 0.0000
S 0.3140 0.8141 0.0000
S 0.1860 0.3140 0.0000
S 0.6859 0.1860 0.0000
K 0.8702 0.3702 0.5000
K 0.1298 0.6298 0.5000
K 0.3702 0.1298 0.5000
K 0.6298 0.8702 0.5000
Ca 0.5000 0.5000 0.0000
Ca 0.0000 0.0000 0.0000

=====

# 10
A plane-wave DFT calculation with GGA-PBE was carried out for a relaxed structure of ReBi.

Calculated values
For the total DFT energy (no corrections), the calculation gives -0.5147 Ry/atom. The density comes out at 9.089 g/cm³. Its space group is I-43m. For the formation energy, the calculation gives 1.16 eV per atom.

Cell: 8.3280 8.3280 8.3280 Å, 90.00 90.00 90.00°
Fractional positions:
Bi 0.2992 0.2992 0.2992
Bi 0.7008 0.7008 0.2992
Bi 0.7992 0.2008 0.2008
Bi 0.2008 0.7992 0.2008
Bi 0.7008 0.2992 0.7008
Bi 0.7992 0.7992 0.7992
Bi 0.2992 0.7008 0.7008
Bi 0.2008 0.2008 0.7992
Re 0.3896 0.6104 0.3896
Re 0.8896 0.8896 0.1104
Re 0.1104 0.1104 0.1104
Re 0.1104 0.8896 0.8896
Re 0.6104 0.6104 0.6104
Re 0.6104 0.3896 0.3896
Re 0.3896 0.3896 0.6104
Re 0.8896 0.1104 0.8896

=====

# 11
A plane-wave DFT calculation with GGA-PBE was carried out for a relaxed structure of Ti2PbI.

Calculated values
For the total DFT energy (no corrections), the calculation gives -0.3418 Ry/atom. For the uncorrected formation energy, the calculation gives 0.61 eV per atom. The density comes out at 5.964 g/cm³. Its space group is I-42d.

Cell: 5.4770 5.4770 8.8696 Å, 72.02 72.02 90.00°
Fractional positions:
I 0.5000 0.5000 0.0000
I 0.2500 0.7500 0.5000
Ti 0.6287 0.1250 0.2500
Ti 0.8750 0.8787 0.7500
Ti 0.3750 0.3713 0.7500
Ti 0.1213 0.6250 0.2500
Pb 0.0000 0.0000 0.0000
Pb 0.7500 0.2500 0.5000

=====

# 12
A plane-wave DFT calculation with GGA-PBE was carried out for a relaxed structure of LiCdH2Pd5.

Calculated values
For the total DFT energy (no corrections), the calculation gives -0.3030 Ry/atom. The density comes out at 8.999 g/cm³. Its space group is P4/mmm.

Cell: 3.9775 3.9775 7.6218 Å, 90.00 90.00 90.00°
Fractional positions:
Cd 0.5000 0.5000 0.5000
Li 0.0000 0.0000 0.0000
Pd 0.0000 0.0000 0.5000
Pd 0.0000 0.5000 0.2213
Pd 0.0000 0.5000 0.7787
Pd 0.5000 0.0000 0.2213
Pd 0.5000 0.0000 0.7787
H 0.0000 0.0000 0.7518
H 0.0000 0.0000 0.2482